# ErIrRh3 (PBE-GGA, relaxed)
data_ErIrRh3
_chemical_formula_sum 'Er4 Ir4 Rh12'
_cell_length_a 5.533
_cell_length_b 10.129
_cell_length_c 6.985
_cell_angle_alpha 90.00
_cell_angle_beta 90.00
_cell_angle_gamma 90.00
_symmetry_space_group_name_H-M 'I m m a'
_symmetry_Int_Tables_number 74
_symmetry_space_group_name_Hall '-I 2b 2'
loop_
_atom_site_label
_atom_site_fract_x
_atom_site_fract_y
_atom_site_fract_z
Er1 0.000 0.250 0.072
Ir1 0.000 0.000 0.500
Rh1 0.000 0.250 0.473
Rh2 0.250 0.114 0.750
# E_tot: -7.10 eV per atom